*w*
Li2Ag2Au: optimized geometry, PBE.

The structure belongs to space group P4/mbm (No. 127); the cell edges are 7.412, 7.412 and 3.042 Å and the angles 90.00°, 90.00° and 90.00°. The distinct sites, in fractional coordinates, are Li at (0.168, 0.332, 0.000), Ag at (0.133, 0.633, 0.500) and Au at (0.000, 0.000, 0.500).

The calculation puts the total magnetization at 0.0 μB per cell.

*x*
Li2Ag2Au: optimized geometry, PBE.

The structure belongs to space group C2/m (No. 12); the cell edges are 8.846, 4.054 and 6.297 Å and the angles 90.00°, 132.66° and 90.00°. The distinct sites, in fractional coordinates, are Li at (0.094, 0.000, 0.303), Ag at (0.199, 0.500, 0.105) and Au at (0.000, 0.500, 0.500).

The calculation puts the total magnetization at 0.0 μB per cell.

*y*
Li2Ag2Au: optimized geometry, PBE.

The structure belongs to space group I4/mmm (No. 139); the cell edges are 3.660, 3.660 and 13.433 Å and the angles 90.00°, 90.00° and 90.00°. The distinct sites, in fractional coordinates, are Li at (0.000, 0.500, 0.250), Ag at (0.000, 0.000, 0.103) and Au at (0.000, 0.000, 0.500).

The calculation puts the total magnetization at 0.0 μB per cell.

Q: Which of them is the least stable? A: *y*.